## i
LiPmAs2 | PBE-GGA | optimized geometry

Results
- V: 83 Å³ per cell
- Spin magnetization: 0.00 μB/f.u.

Unit cell a=3.7124 b=3.7124 c=6.0209 alpha=90.00 beta=90.00 gamma=90.00
With the nearest neighbours (Å) after each atom.
Space group P4/mmm (No. 123)
One atom of each set of equivalent atoms:
Li (0.0000, 0.0000, 0.0000) [1 per cell]  8 As 2.93, 2 Pm 3.01
Pm (0.0000, 0.0000, 0.5000) [1 per cell]  2 Li 3.01, 8 As 3.13
As (0.5000, 0.5000, 0.2171) [2 per cell]  1 As 2.61

***

## ii
LiPmAs2 | PBE-GGA | optimized geometry

Results
- V: 262 Å³ per cell
- Spin magnetization: 0.00 μB/f.u.

Unit cell a=4.5404 b=4.5404 c=14.7004 alpha=90.00 beta=90.00 gamma=120.00
With the nearest neighbours (Å) after each atom.
Space group R-3m (No. 166, hexagonal axes)
One atom of each set of equivalent atoms:
Li (0.0000, 0.0000, 0.0000) [3 per cell]  6 As 2.82
Pm (0.0000, 0.0000, 0.5000) [3 per cell]  6 As 2.97
As (0.0000, 0.0000, 0.2623) [6 per cell]  3 Li 2.82, 3 Pm 2.97

***

So which one is most stable? That would be ii, about 0.6 kJ/mol of atoms below the next structure.

***

## i
LiPmAs | PBE-GGA | optimized geometry

Results
- V: 135 Å³ per cell
- Spin magnetization: 0.00 μB/f.u.

Unit cell a=4.0382 b=4.0382 c=8.2507 alpha=90.00 beta=90.00 gamma=90.00
With the nearest neighbours (Å) after each atom.
Space group I4mm (No. 107)
One atom of each set of equivalent atoms:
Li (0.0000, 0.0000, 0.0000) [2 per cell]  1 As 2.51
Pm (0.0000, 0.0000, 0.3413) [2 per cell]  5 Li 2.82-3.14, 5 As 2.93-3.10
As (0.0000, 0.0000, 0.6961) [2 per cell]  1 Li 2.51

***

## ii
LiPmAs | PBE-GGA | optimized geometry

Results
- V: 295 Å³ per cell
- Spin magnetization: 0.00 μB/f.u.

Unit cell a=6.6599 b=6.6599 c=6.6599 alpha=90.00 beta=90.00 gamma=90.00
With the nearest neighbours (Å) after each atom.
Space group F-43m (No. 216)
One atom of each set of equivalent atoms:
Li (0.0000, 0.0000, 0.0000) [4 per cell]  4 As 2.88
Pm (0.0000, 0.0000, 0.5000) [4 per cell]  4 As 2.88
As (0.2500, 0.2500, 0.7500) [4 per cell]  4 Li 2.88, 4 Pm 2.88

***

## iii
LiPmAs | PBE-GGA | optimized geometry

Results
- V: 284 Å³ per cell
- Spin magnetization: 0.00 μB/f.u.

Unit cell a=4.2016 b=15.4425 c=4.3740 alpha=90.00 beta=90.00 gamma=90.00
With the nearest neighbours (Å) after each atom.
Space group Cmcm (No. 63)
One atom of each set of equivalent atoms:
Li (0.0000, 0.0000, 0.0000) [4 per cell]  2 Li 2.19
Pm (0.0000, 0.3371, 0.2500) [4 per cell]  5 As 2.92-3.04
As (0.0000, 0.1482, 0.2500) [4 per cell]  2 Li 2.54

***

## iv
LiPmAs | PBE-GGA | optimized geometry

Results
- V: 63 Å³ per cell
- Spin magnetization: 0.81 μB/f.u.

Unit cell a=4.2202 b=4.2202 c=4.0707 alpha=90.00 beta=90.00 gamma=120.00
With the nearest neighbours (Å) after each atom.
Space group P-6m2 (No. 187)
One atom of each set of equivalent atoms:
Li (0.0000, 0.0000, 0.0000) [1 per cell]  3 As 2.44
Pm (0.3333, 0.6667, 0.5000) [1 per cell]  6 Li 3.17, 6 As 3.17
As (0.6667, 0.3333, 0.0000) [1 per cell]  3 Li 2.44

***

So which one is most stable? That would be iv, about 12.5 kJ/mol of atoms below the next structure.